[1]
MgIF2 PBE-GGA optimized geometry; raw formation energy = -1.183 eV per atom; calculated volume = 69 Å³/cell; space group = No. 225
1.0
0.0806 -4.5907 -0.1495
-3.3346 -2.4231 2.0279
-3.0697 -2.2692 -2.5557
I Mg F
1 1 2
Direct
0.5000 0.5000 0.5000 I
0.0000 0.0000 0.0000 Mg
0.2500 0.2500 0.2500 F
0.7500 0.7500 0.7500 F



[2]
MgIF3 PBE-GGA optimized geometry; raw formation energy = -2.030 eV per atom; calculated volume = 74 Å³/cell; space group = No. 221
1.0
4.1943 0.0000 0.0000
0.0000 4.1943 0.0000
0.0000 0.0000 4.1943
I Mg F
1 1 3
Direct
0.5000 0.5000 0.5000 I
0.0000 0.0000 0.0000 Mg
0.0000 0.5000 0.0000 F
0.0000 0.0000 0.5000 F
0.5000 0.0000 0.0000 F



[3]
MgI2F2 PBE-GGA optimized geometry; raw formation energy = -1.343 eV per atom; calculated volume = 149 Å³/cell; space group = No. 139
1.0
-1.4369 6.6970 1.3484
0.2816 -1.3186 6.8494
2.4042 3.3288 4.0994
I Mg F
2 1 2
Direct
0.7500 0.2500 0.5000 I
0.2500 0.7500 0.5000 I
0.0000 0.0000 0.0000 Mg
0.2895 0.2895 0.4210 F
0.7105 0.7105 0.5790 F